No. 1
VASP calculation (meta-GGA SCAN) on a PBEsol-optimized structure of LaAlPt.

Symmetry: P-6m2
Energy relative to the elements (eV per atom): -1.16

a b c (Å): 4.0371 4.3930 4.3930
angles (deg): 120.00 90.00 90.00
Fractional positions:
Al 0.5000 0.0000 0.0000
Pt 0.5000 0.6667 0.3333
La 0.0000 0.3333 0.6667

No. 2
VASP calculation (meta-GGA SCAN) on a PBEsol-optimized structure of La2AlPtRh.

Symmetry: P4/mmm
Energy relative to the elements (eV per atom): -0.03

a b c (Å): 4.2789 5.5878 5.5878
angles (deg): 90.00 90.00 90.00
Fractional positions:
Rh 0.5000 0.0000 0.0000
Al 0.0000 0.0000 0.0000
Pt 0.5000 0.5000 0.5000
La 0.0000 0.0000 0.5000
La 0.0000 0.5000 0.0000

No. 3
VASP calculation (meta-GGA SCAN) on a PBEsol-optimized structure of LaAl2TlPt.

Symmetry: P4/mmm
Energy relative to the elements (eV per atom): 0.58

a b c (Å): 4.8430 4.8430 6.0623
angles (deg): 90.00 90.00 90.00
Fractional positions:
Tl 0.0000 0.0000 0.0000
Al 0.0000 0.5000 0.0000
Al 0.5000 0.0000 0.0000
Pt 0.5000 0.5000 0.5000
La 0.0000 0.0000 0.5000

No. 4
VASP calculation (meta-GGA SCAN) on a PBEsol-optimized structure of RbLaAl2.

Symmetry: Fm-3m
Energy relative to the elements (eV per atom): 0.29

a b c (Å): 5.5253 5.5253 5.5253
angles (deg): 60.00 60.00 60.00
Fractional positions:
Al 0.2500 0.2500 0.2500
Al 0.7500 0.7500 0.7500
Rb 0.0000 0.0000 0.0000
La 0.5000 0.5000 0.5000

No. 5
VASP calculation (meta-GGA SCAN) on a PBEsol-optimized structure of La2AlRe.

Symmetry: Cmmm
Energy relative to the elements (eV per atom): 0.21

a b c (Å): 3.8450 4.9549 4.9549
angles (deg): 90.12 90.00 90.00
Fractional positions:
Re 0.5000 0.0000 0.0000
Al 0.5000 0.5000 0.5000
La 0.0000 0.5000 0.0000
La 0.0000 0.0000 0.5000

No. 6
VASP calculation (meta-GGA SCAN) on a PBEsol-optimized structure of La2AlRe.

Symmetry: F-43m
Energy relative to the elements (eV per atom): 0.21

a b c (Å): 4.9380 4.9380 4.9419
angles (deg): 119.97 119.97 90.00
Fractional positions:
Re 0.5000 0.5000 0.0000
Al 0.2500 0.7500 0.5000
La 0.0000 0.0000 0.0000
La 0.7500 0.2500 0.5000

No. 7
VASP calculation (meta-GGA SCAN) on a PBEsol-optimized structure of LaAl2ReSb.

Uncorrected formation energy (eV per atom): 1.4525
Symmetry: P4/mmm

a b c (Å): 5.0021 5.0021 5.8680
angles (deg): 90.00 90.00 90.00
Site moments in Bohr magnetons follow the coordinates.
Fractional positions:
Re 0.5000 0.5000 0.5000  -2.43
Al 0.0000 0.5000 0.0000  0.04
Al 0.5000 0.0000 0.0000  0.04
Sb 0.0000 0.0000 0.0000  -0.01
La 0.0000 0.0000 0.5000  0.08

No. 8
VASP calculation (meta-GGA SCAN) on a PBEsol-optimized structure of LaAlRh2.

Symmetry: F-43m
Energy relative to the elements (eV per atom): -0.16

a b c (Å): 4.6759 4.6759 4.6759
angles (deg): 60.00 60.00 60.00
Fractional positions:
Rh 0.0000 0.0000 0.0000
Rh 0.7500 0.7500 0.7500
Al 0.5000 0.5000 0.5000
La 0.2500 0.2500 0.2500

No. 9
VASP calculation (meta-GGA SCAN) on a PBEsol-optimized structure of LaAl2Rh.

Symmetry: R-3m
Energy relative to the elements (eV per atom): -0.35

a b c (Å): 3.1347 3.1347 9.2551
angles (deg): 80.25 80.25 60.00
Fractional positions:
Rh 0.0000 0.0000 0.0000
Al 0.2689 0.2689 0.1932
Al 0.7311 0.7311 0.8068
La 0.5000 0.5000 0.5000

No. 10
VASP calculation (meta-GGA SCAN) on a PBEsol-optimized structure of LaAlRh2.

Symmetry: I-4m2
Energy relative to the elements (eV per atom): -0.60

a b c (Å): 3.8451 3.8451 5.5009
angles (deg): 110.46 110.46 90.00
Fractional positions:
Rh 0.0000 0.0000 0.0000
Rh 0.7500 0.2500 0.5000
Al 0.5000 0.5000 0.0000
La 0.2500 0.7500 0.5000

No. 11
VASP calculation (meta-GGA SCAN) on a PBEsol-optimized structure of LaAlRh.

Symmetry: F-43m
Energy relative to the elements (eV per atom): -0.11

a b c (Å): 4.5876 4.5876 4.5876
angles (deg): 60.00 60.00 60.00
Fractional positions:
Rh 0.5000 0.5000 0.5000
Al 0.2500 0.2500 0.2500
La 0.0000 0.0000 0.0000

No. 12
VASP calculation (meta-GGA SCAN) on a PBEsol-optimized structure of La2Al9Rh3.

Symmetry: Cmcm
Energy relative to the elements (eV per atom): -0.91

a b c (Å): 7.5932 7.5932 9.5623
angles (deg): 90.00 90.00 119.05
Fractional positions:
La 0.6726 0.9950 0.7500
La 0.3274 0.0050 0.2500
La 0.9950 0.6726 0.7500
La 0.0050 0.3274 0.2500
Al 0.1331 0.1331 0.7500
Al 0.8669 0.8669 0.2500
Al 0.3365 0.0034 0.9260
Al 0.6635 0.9966 0.0740
Al 0.6635 0.9966 0.4260
Al 0.0034 0.3365 0.5740
Al 0.3365 0.0034 0.5740
Al 0.9966 0.6635 0.4260
Al 0.9966 0.6635 0.0740
Al 0.0034 0.3365 0.9260
Al 0.3340 0.3340 0.4586
Al 0.6660 0.6660 0.5414
Al 0.6660 0.6660 0.9586
Al 0.3340 0.3340 0.0414
Al 0.5486 0.3410 0.7500
Al 0.4514 0.6590 0.2500
Al 0.3410 0.5486 0.7500
Al 0.6590 0.4514 0.2500
Rh 0.3293 0.6707 0.0000
Rh 0.6707 0.3293 0.0000
Rh 0.6707 0.3293 0.5000
Rh 0.3293 0.6707 0.5000
Rh 0.0000 0.0000 0.0000
Rh 0.0000 0.0000 0.5000

- Which formula does entry 2 have?
  La2AlPtRh